AlSb2Te: relaxed, PBE-GGA.

Results
E_form (uncorrected) = 17.8 kJ per mole of atoms
E = -3.5977 eV per atom
D(E_F) = 0.3345 states/eV/atom

Lattice parameters (Å, degrees): 3.6693 3.6693 7.5897 90.00 90.00 90.00
Closest atoms and distances in Å follow each position.
Atoms (fractional coordinates):
Al1 0.0000 0.0000 0.0000  4 Te 2.97, 4 Sb 3.25
Sb1 0.0000 0.0000 0.5052  4 Sb 3.20, 4 Te 3.48
Sb2 0.5000 0.5000 0.2587  4 Sb 3.20, 4 Al 3.25, 1 Te 3.40
Te1 0.5000 0.5000 0.8106  4 Al 2.97